Material: Ce6Os2AuI3
Method: DFT, GGA-PBE
State: optimized geometry

Summary:
The value obtained for the formation energy from raw total energies is -8.02 eV/f.u.

Lattice parameters (Å, degrees): 7.2878 12.6144 8.3198 90.00 106.96 90.00
Closest atoms and distances in Å follow each position.
Space group C2/m (No. 12)
Symmetry-distinct sites (fractional):
Ce: 0.2074 0.0000 0.1880  2 Os 2.79, 1 Au 2.99
Ce: 0.2411 0.3223 0.1899  2 Os 2.79-2.80, 1 Au 3.00
Os: 0.0000 0.1669 0.0000  6 Ce 2.79-2.80
Au: 0.0000 0.5000 0.0000  6 Ce 2.99-3.00
I: 0.0000 0.0000 0.5000  6 Ce 3.36-3.52
I: 0.0000 0.3369 0.5000  6 Ce 3.38-3.52